Computed, not measured: an optimized crystal structure of CsRbMn2Cl6 at the PBE level of DFT.

abc: 10.027 10.027 7.472
angles: 98.25 98.25 88.59
Atoms (fractional coordinates):
Cs1 0.178 0.822 0.750
Cs2 0.822 0.178 0.250
Rb1 0.400 0.600 0.250
Rb2 0.600 0.400 0.750
Mn1 0.129 0.303 0.763
Mn2 0.303 0.129 0.263
Mn3 0.697 0.871 0.737
Mn4 0.871 0.697 0.237
Cl1 0.088 0.626 0.324
Cl2 0.126 0.176 0.018
Cl3 0.176 0.126 0.518
Cl4 0.287 0.475 0.825
Cl5 0.374 0.912 0.176
Cl6 0.475 0.287 0.325
Cl7 0.525 0.713 0.675
Cl8 0.626 0.088 0.824
Cl9 0.713 0.525 0.175
Cl10 0.824 0.874 0.482
Cl11 0.874 0.824 0.982
Cl12 0.912 0.374 0.676

Summary:
Theoretical density: 2.44 Mg/m³
Uncorrected formation energy: -1.47 eV/atom
ΔE to the lowest computed polymorph: 0.010 eV/atom